A relaxed structure of Mg5Al7O16, computed with PBE.

Structure (CIF):
```
data_Mg5Al7O16
_space_group_name_H-M_alt 'P 1 2/m 1'
_space_group_IT_number 10
_space_group_name_Hall '-P 2y'
_cell_length_a 5.820
_cell_length_b 5.795
_cell_length_c 8.243
_cell_angle_alpha 90.00
_cell_angle_beta 90.83
_cell_angle_gamma 90.00
loop_
_atom_site_label
_atom_site_type_symbol
_atom_site_fract_x
_atom_site_fract_y
_atom_site_fract_z
_atom_site_occupancy
Mg1 Mg 0.000 0.000 0.000 1
Mg2 Mg 0.246 0.000 0.377 1
Mg3 Mg 0.249 0.500 0.126 1
Al1 Al 0.000 0.500 0.500 1
Al2 Al 0.256 0.250 0.748 1
Al3 Al 0.500 0.000 0.000 1
Al4 Al 0.500 0.500 0.500 1
O1 O 0.030 0.500 0.736 1
O2 O 0.042 0.000 0.750 1
O3 O 0.250 0.279 0.513 1
O4 O 0.267 0.233 0.979 1
O5 O 0.477 0.500 0.731 1
O6 O 0.482 0.000 0.762 1
```

DFT total energy ... -6.903 eV per atom
V ... 9.9 A^3/atom
Formation energy without anion corrections ... -2850 meV per atom